Computed, not measured: a relaxed structure of Ni2HgRuF at the GGA+U level of DFT.

```
Ni2HgRuF
1.0
4.894 0.000 0.000
0.000 4.894 0.000
0.000 0.000 4.360
Ni Hg Ru F
2 1 1 1
Cartesian
0.000 2.447 0.000
2.447 0.000 0.000
0.000 0.000 0.000
2.447 2.447 2.180
0.000 0.000 2.180
```

Output
Total moment = 0.85 μB per atom
Uncorrected energy = -2.05 eV/atom
Space-group type = P4/mmm (123)